Density functional theory data (PBE-GGA) for Er7Sb2Au2 after structural relaxation.

a b c (Å): 6.9799 6.9211 6.9799
angles (deg): 90.00 100.43 90.00
Closest atoms and distances in Å follow each position.
Fractional coordinates of all 11 atoms:
Er1 0.9998 0.2528 0.5003  2 Au 2.85
Er2 0.5003 0.7472 0.9998  2 Au 2.85
Er3 0.0002 0.7472 0.4997  2 Au 2.85
Er4 0.4997 0.2528 0.0002  2 Au 2.85
Er5 0.0000 0.0000 0.0000  2 Au 3.00
Er6 0.5002 0.7577 0.4998  2 Au 2.90, 2 Sb 3.19
Er7 0.4998 0.2423 0.5002  2 Au 2.90, 2 Sb 3.19
Sb1 0.7959 0.5000 0.7959  6 Er 3.19-3.21
Sb2 0.2041 0.5000 0.2041  6 Er 3.19-3.21
Au1 0.7208 0.0000 0.2792  7 Er 2.85-3.00
Au2 0.2792 0.0000 0.7208  7 Er 2.85-3.00

Computed properties:
The density of states at the Fermi level is 8.52 states/eV/cell. The calculation puts the magnetic moment at 0.00 μB/atom. The raw formation energy comes out at -0.48 eV per atom.

Density functional theory data (PBE-GGA) for CePrSmSe3 after structural relaxation.

a b c (Å): 4.0861 7.3754 10.9466
angles (deg): 102.70 90.00 90.00
Closest atoms and distances in Å follow each position.
Fractional coordinates of all 12 atoms:
Ce1 0.2500 0.1207 0.6278  5 Se 2.93-3.02
Ce2 0.7500 0.8793 0.3722  5 Se 2.93-3.02
Pr1 0.7500 0.6563 0.7007  7 Se 3.05-3.12
Pr2 0.2500 0.3437 0.2993  7 Se 3.05-3.12
Sm1 0.2500 0.7642 0.0565  6 Se 2.93-2.99
Sm2 0.7500 0.2358 0.9435  6 Se 2.93-2.99
Se1 0.2500 0.7112 0.5055  3 Ce 2.94-3.02, 3 Pr 3.05-3.12
Se2 0.7500 0.0554 0.1567  3 Sm 2.93-2.99, 1 Ce 2.93, 2 Pr 3.11
Se3 0.7500 0.5465 0.1630  3 Sm 2.93-2.99, 1 Ce 2.97, 2 Pr 3.10
Se4 0.7500 0.2888 0.4945  3 Ce 2.94-3.02, 3 Pr 3.05-3.12
Se5 0.2500 0.4535 0.8370  3 Sm 2.93-2.99, 1 Ce 2.97, 2 Pr 3.10
Se6 0.2500 0.9446 0.8433  3 Sm 2.93-2.99, 1 Ce 2.93, 2 Pr 3.11

Computed properties:
The density of states at the Fermi level is 15.06 states/eV/cell. The calculation puts the magnetic moment at 0.26 μB/atom. The raw formation energy comes out at -1.72 eV per atom.

Density functional theory data (PBE-GGA) for Pm3PuTh3Se8 after structural relaxation.

a b c (Å): 8.3537 8.3537 8.3743
angles (deg): 119.92 90.00 120.00
Closest atoms and distances in Å follow each position.
Fractional coordinates of all 15 atoms:
Pm1 0.0000 0.0000 0.0000  6 Se 2.94-2.96
Pm2 0.0000 0.5000 0.0000  6 Se 2.94-2.96
Pm3 0.5000 0.5000 0.0000  6 Se 2.94-2.96
Pu1 0.0000 0.0000 0.5000  6 Se 2.99
Th1 0.5000 0.0000 0.5000  6 Se 2.96-2.97
Th2 0.5000 0.5000 0.5000  6 Se 2.96-2.97
Th3 0.0000 0.5000 0.5000  6 Se 2.96-2.97
Se1 0.2488 0.4977 0.2465  3 Pm 2.94, 3 Th 2.97
Se2 0.7512 0.5023 0.7535  3 Pm 2.94, 3 Th 2.97
Se3 0.7468 0.4937 0.2466  2 Pm 2.96, 2 Th 2.96, 1 Pu 2.99
Se4 0.2532 0.5063 0.7534  2 Pm 2.96, 2 Th 2.96, 1 Pu 2.99
Se5 0.7469 0.9997 0.2466  2 Pm 2.96, 2 Th 2.96, 1 Pu 2.99
Se6 0.2531 0.0003 0.7534  2 Pm 2.96, 2 Th 2.96, 1 Pu 2.99
Se7 0.2529 0.9997 0.2466  2 Pm 2.96, 2 Th 2.96, 1 Pu 2.99
Se8 0.7471 0.0003 0.7534  2 Pm 2.96, 2 Th 2.96, 1 Pu 2.99

Computed properties:
The density of states at the Fermi level is 19.11 states/eV/cell. The calculation puts the magnetic moment at 0.41 μB/atom. The raw formation energy comes out at -1.70 eV per atom.

Density functional theory data (PBE-GGA) for Y2SeBr after structural relaxation.

a b c (Å): 3.5794 3.5794 7.1472
angles (deg): 90.00 90.00 90.00
Closest atoms and distances in Å follow each position.
Fractional coordinates of all 4 atoms:
Br1 0.5000 0.5000 0.2500  8 Y 3.16
Se1 0.5000 0.5000 0.7500  8 Y 3.04
Y1 0.0000 0.0000 0.9859  4 Se 3.04, 4 Br 3.16, 1 Y 3.37
Y2 0.0000 0.0000 0.5141  4 Se 3.04, 4 Br 3.16, 1 Y 3.37

Computed properties:
The density of states at the Fermi level is 3.18 states/eV/cell. The calculation puts the magnetic moment at 0.00 μB/atom. The distance to the lowest polymorph of the same formula is 168 meV/atom. The raw formation energy comes out at -1.18 eV per atom.

Density functional theory data (PBE-GGA) for AuI after structural relaxation.

a b c (Å): 4.7001 4.7001 8.1449
angles (deg): 106.64 90.11 120.02
Closest atoms and distances in Å follow each position.
Fractional coordinates of all 4 atoms:
Au1 0.5622 0.6296 0.1918  3 I 2.74, 1 Au 2.95
Au2 0.4378 0.3704 0.8082  3 I 2.74, 1 Au 2.95
I1 0.2469 0.9982 0.2450  3 Au 2.74
I2 0.7531 0.0018 0.7550  3 Au 2.74

Computed properties:
The density of states at the Fermi level is 0.54 states/eV/cell. The calculation puts the magnetic moment at 0.00 μB/atom. The raw formation energy comes out at 0.04 eV per atom.

Density functional theory data (PBE-GGA) for K2TbPa2Te6 after structural relaxation.

a b c (Å): 7.6220 7.6220 8.9145
angles (deg): 98.16 98.16 120.04
Closest atoms and distances in Å follow each position.
Fractional coordinates of all 11 atoms:
K1 0.8342 0.1658 0.0000  6 Te 3.55-3.56
K2 0.1658 0.8342 0.0000  6 Te 3.55-3.56
Tb1 0.0000 0.0000 0.5000  6 Te 3.11-3.13
Pa1 0.3330 0.6670 0.5000  6 Te 3.10-3.12
Pa2 0.6670 0.3330 0.5000  6 Te 3.10-3.12
Te1 0.7332 0.7332 0.7099  2 Pa 3.10, 1 Tb 3.13
Te2 0.0720 0.4042 0.7104  2 Pa 3.10-3.12, 1 Tb 3.11
Te3 0.2668 0.2668 0.2901  2 Pa 3.10, 1 Tb 3.13
Te4 0.4042 0.0720 0.7104  2 Pa 3.10-3.12, 1 Tb 3.11
Te5 0.9280 0.5958 0.2896  2 Pa 3.10-3.12, 1 Tb 3.11
Te6 0.5958 0.9280 0.2896  2 Pa 3.10-3.12, 1 Tb 3.11

Computed properties:
The density of states at the Fermi level is 14.48 states/eV/cell. The calculation puts the magnetic moment at 0.28 μB/atom. The raw formation energy comes out at -1.07 eV per atom.

Density functional theory data (PBE-GGA) for Nd8SiTe3S3 after structural relaxation.

a b c (Å): 8.4150 8.4152 8.6942
angles (deg): 118.95 90.00 120.00
Closest atoms and distances in Å follow each position.
Fractional coordinates of all 15 atoms:
Nd1 0.2639 0.5279 0.2931  3 S 2.85-2.86
Nd2 0.7361 0.4721 0.7069  3 S 2.85-2.86
Nd3 0.7588 0.5176 0.2822  2 S 2.88, 1 Si 2.92, 2 Te 3.18
Nd4 0.2412 0.4824 0.7178  2 S 2.88, 1 Si 2.92, 2 Te 3.18
Nd5 0.7591 0.0239 0.2829  2 S 2.88, 1 Si 2.91, 2 Te 3.18
Nd6 0.2409 0.9761 0.7171  2 S 2.88, 1 Si 2.91, 2 Te 3.18
Nd7 0.2648 0.0239 0.2829  2 S 2.88, 1 Si 2.91, 2 Te 3.18
Nd8 0.7352 0.9761 0.7171  2 S 2.88, 1 Si 2.91, 2 Te 3.18
Si1 0.0000 0.0000 0.5000  6 Nd 2.91-2.92
Te1 0.0000 0.0000 0.0000  6 Nd 3.18-3.21
Te2 0.0000 0.5000 0.0000  6 Nd 3.18-3.22
Te3 0.5000 0.5000 0.0000  6 Nd 3.18-3.22
S1 0.5000 0.0000 0.5000  6 Nd 2.86-2.88
S2 0.5000 0.5000 0.5000  6 Nd 2.85-2.88
S3 0.0000 0.5000 0.5000  6 Nd 2.85-2.88

Computed properties:
The density of states at the Fermi level is 7.71 states/eV/cell. The calculation puts the magnetic moment at 0.00 μB/atom. The raw formation energy comes out at -1.50 eV per atom.

Density functional theory data (PBE-GGA) for Pr2Er5Tm after structural relaxation.

a b c (Å): 5.0247 7.1098 14.2221
angles (deg): 90.00 90.00 90.00
Closest atoms and distances in Å follow each position.
Fractional coordinates of all 16 atoms:
Pr1 0.5000 0.2489 0.6249  2 Tm 3.55, 10 Er 3.55-3.56
Pr2 0.5000 0.7511 0.3751  2 Tm 3.55, 10 Er 3.55-3.56
Pr3 0.5000 0.2511 0.1249  2 Tm 3.55, 10 Er 3.55-3.56
Pr4 0.5000 0.7489 0.8751  2 Tm 3.55, 10 Er 3.55-3.56
Er1 0.0000 0.0000 0.0000  6 Er 3.55-3.56, 2 Tm 3.55, 4 Pr 3.56
Er2 0.0000 0.5000 0.5000  6 Er 3.55-3.56, 2 Tm 3.55, 4 Pr 3.56
Er3 0.0000 0.4986 0.7501  7 Er 3.55-3.56, 1 Tm 3.55, 4 Pr 3.55-3.56
Er4 0.0000 0.5014 0.2499  7 Er 3.55-3.56, 1 Tm 3.55, 4 Pr 3.55-3.56
Er5 0.0000 0.0014 0.2501  7 Er 3.55-3.56, 1 Tm 3.55, 4 Pr 3.55-3.56
Er6 0.0000 0.9986 0.7499  7 Er 3.55-3.56, 1 Tm 3.55, 4 Pr 3.55-3.56
Er7 0.5000 0.2489 0.8750  6 Er 3.55-3.56, 4 Pr 3.55-3.56, 2 Tm 3.56
Er8 0.5000 0.7511 0.1250  6 Er 3.55-3.56, 4 Pr 3.55-3.56, 2 Tm 3.56
Er9 0.5000 0.2511 0.3750  6 Er 3.55-3.56, 4 Pr 3.55-3.56, 2 Tm 3.56
Er10 0.5000 0.7489 0.6250  6 Er 3.55-3.56, 4 Pr 3.55-3.56, 2 Tm 3.56
Tm1 0.0000 0.0000 0.5000  4 Pr 3.55, 8 Er 3.55-3.56
Tm2 0.0000 0.5000 0.0000  4 Pr 3.55, 8 Er 3.55-3.56

Computed properties:
For the formation energy from the elements, the calculation gives 0.22 eV/f.u. The density of states at the Fermi level is 23.65 states/eV/cell. The calculation puts the magnetic moment at 0.00 μB/atom. The distance to the lowest polymorph of the same formula is 0 meV/atom.

Density functional theory data (PBE-GGA) for RuAuS3 after structural relaxation.

a b c (Å): 4.6157 4.6157 4.6157
angles (deg): 90.00 90.00 90.00
Closest atoms and distances in Å follow each position.
Fractional coordinates of all 5 atoms:
Ru1 0.0000 0.0000 0.0000  6 S 2.31
S1 0.0000 0.5000 0.0000  2 Ru 2.31
S2 0.0000 0.0000 0.5000  2 Ru 2.31
S3 0.5000 0.0000 0.0000  2 Ru 2.31
Au1 0.5000 0.5000 0.5000  12 S 3.26

Computed properties:
The density of states at the Fermi level is 7.82 states/eV/cell. The calculation puts the magnetic moment at 0.00 μB/atom. The distance to the lowest polymorph of the same formula is 0 meV/atom. The raw formation energy comes out at 0.66 eV per atom.

Density functional theory data (PBE-GGA) for Hf2UAs after structural relaxation.

a b c (Å): 3.0492 3.0492 10.6767
angles (deg): 81.79 81.79 60.00
Closest atoms and distances in Å follow each position.
Fractional coordinates of all 4 atoms:
Hf1 0.0956 0.0956 0.7133  3 As 2.85, 1 U 3.02, 6 Hf 3.05
Hf2 0.9044 0.9044 0.2867  3 As 2.85, 1 U 3.02, 6 Hf 3.05
As1 0.5000 0.5000 0.5000  6 Hf 2.85, 6 As 3.05
U1 0.0000 0.0000 0.0000  2 Hf 3.02, 6 U 3.05

Computed properties:
For the formation energy from the elements, the calculation gives 0.82 eV/f.u. The density of states at the Fermi level is 5.68 states/eV/cell. The calculation puts the magnetic moment at 0.52 μB/atom.

Density functional theory data (PBE-GGA) for Hf2Co21B6 after structural relaxation.

a b c (Å): 7.4619 7.4619 7.4619
angles (deg): 60.00 60.00 60.00
Closest atoms and distances in Å follow each position.
Fractional coordinates of all 29 atoms:
Hf1 0.7500 0.7500 0.7500  4 Co 2.48
Hf2 0.2500 0.2500 0.2500  4 Co 2.48
Co1 0.0000 0.0000 0.0000  12 Co 2.52
Co2 0.6146 0.6146 0.1563  3 B 2.08
Co3 0.6146 0.1563 0.6146  3 B 2.08
Co4 0.1563 0.6146 0.6146  3 B 2.08
Co5 0.6146 0.6146 0.6146  3 B 2.08
Co6 0.3854 0.3854 0.8437  3 B 2.08
Co7 0.3854 0.8437 0.3854  3 B 2.08
Co8 0.8437 0.3854 0.3854  3 B 2.08
Co9 0.3854 0.3854 0.3854  3 B 2.08
Co10 0.0000 0.0000 0.3373  2 B 2.10
Co11 0.6627 0.0000 0.3373  2 B 2.10
Co12 0.0000 0.6627 0.3373  2 B 2.10
Co13 0.6627 0.3373 0.0000  2 B 2.10
Co14 0.0000 0.3373 0.0000  2 B 2.10
Co15 0.0000 0.3373 0.6627  2 B 2.10
Co16 0.3373 0.6627 0.0000  2 B 2.10
Co17 0.3373 0.0000 0.6627  2 B 2.10
Co18 0.3373 0.0000 0.0000  2 B 2.10
Co19 0.0000 0.0000 0.6627  2 B 2.10
Co20 0.0000 0.6627 0.0000  2 B 2.10
Co21 0.6627 0.0000 0.0000  2 B 2.10
B1 0.7262 0.7262 0.2738  8 Co 2.08-2.10
B2 0.2738 0.7262 0.2738  8 Co 2.08-2.10
B3 0.7262 0.2738 0.2738  8 Co 2.08-2.10
B4 0.2738 0.2738 0.7262  8 Co 2.08-2.10
B5 0.7262 0.2738 0.7262  8 Co 2.08-2.10
B6 0.2738 0.7262 0.7262  8 Co 2.08-2.10

Computed properties:
For the formation energy from the elements, the calculation gives -8.57 eV/f.u. The density of states at the Fermi level is 34.39 states/eV/cell. The calculation puts the magnetic moment at 0.69 μB/atom.

Density functional theory data (PBE-GGA) for MnBe2Cr after structural relaxation.

a b c (Å): 4.0852 4.0852 4.2252
angles (deg): 83.83 83.83 33.89
Closest atoms and distances in Å follow each position.
Fractional coordinates of all 4 atoms:
Cr1 0.4953 0.4953 0.4903  1 Mn 2.20, 2 Cr 2.38, 7 Be 2.41-2.46
Mn1 0.2578 0.2578 0.2562  1 Cr 2.20, 2 Mn 2.38, 5 Be 2.39-2.43
Be1 0.9995 0.9995 0.9841  5 Be 2.26-2.38, 4 Cr 2.41-2.45, 3 Mn 2.41-2.43
Be2 0.7475 0.7475 0.7694  5 Be 2.26-2.38, 4 Mn 2.39-2.47, 3 Cr 2.41-2.46

Computed properties:
For the formation energy from the elements, the calculation gives 0.13 eV/f.u. The density of states at the Fermi level is 2.54 states/eV/cell. The calculation puts the magnetic moment at 0.06 μB/atom. The distance to the lowest polymorph of the same formula is 108 meV/atom.

Number 2 is which compound?
CePrSmSe3